Compound: Ga3SnP
Source: the Alexandria database
Functional: PBE-GGA
Structure: optimized geometry

**Energy above the lowest structure with this stoichiometry**: 0.000 eV per formula unit
**Energy of formation**: 0.242 eV/atom
**Symmetry**: Pm-3m

Cell lengths 4.8243, 4.8243, 4.8243 Å; angles 90.00, 90.00, 90.00 degrees
Sites, in units of the cell vectors:
Ga 0.0000 0.0000 0.5000
Ga 0.0000 0.5000 0.0000
Ga 0.5000 0.0000 0.0000
P 0.0000 0.0000 0.0000
Sn 0.5000 0.5000 0.5000


Compound: BaPuAs2Pt2
Source: the Alexandria database
Functional: PBE-GGA
Structure: optimized geometry

**Energy of formation**: -0.965 eV/atom
**Symmetry**: P-3m1

Cell lengths 4.3578, 4.3578, 8.6221 Å; angles 90.00, 90.00, 120.00 degrees
Sites, in units of the cell vectors:
Pu 0.0000 0.0000 0.5000
Pt 0.6667 0.3333 0.7198
Pt 0.3333 0.6667 0.2802
As 0.6667 0.3333 0.2827
As 0.3333 0.6667 0.7173
Ba 0.0000 0.0000 0.0000


Compound: HoLuNiIr
Source: the Alexandria database
Functional: PBE-GGA
Structure: optimized geometry

**Energy of formation**: -0.719 eV/atom
**Symmetry**: F-43m

Cell lengths 4.7560, 4.7560, 4.7560 Å; angles 60.00, 60.00, 60.00 degrees
Sites, in units of the cell vectors:
Ho 0.5000 0.5000 0.5000
Ir 0.2500 0.2500 0.2500
Ni 0.7500 0.7500 0.7500
Lu 0.0000 0.0000 0.0000


Compound: Tm2CuSb
Source: the Alexandria database
Functional: PBE-GGA
Structure: optimized geometry

**Formation energy (no corrections)**: -619.5 meV per atom
**Energy above the lowest structure with this stoichiometry**: 0.000 eV per formula unit
**Symmetry**: P2_1/m

Cell lengths 4.1049, 5.9485, 8.2218 Å; angles 109.66, 90.00, 90.00 degrees
Sites, in units of the cell vectors:
Cu 0.7500 0.6338 0.2907
Cu 0.2500 0.3662 0.7093
Sb 0.7500 0.1213 0.7903
Sb 0.2500 0.8787 0.2097
Tm 0.7500 0.2410 0.4420
Tm 0.7500 0.6859 0.9113
Tm 0.2500 0.7590 0.5580
Tm 0.2500 0.3141 0.0887


Compound: ScTi5C6
Source: the Alexandria database
Functional: PBE-GGA
Structure: optimized geometry

**Energy of formation**: -0.698 eV/atom
**Symmetry**: C2/m

Cell lengths 5.3734, 5.3703, 5.3769 Å; angles 60.04, 80.41, 70.50 degrees
Sites, in units of the cell vectors:
C 0.7446 0.0852 0.3422
C 0.2556 0.2569 0.0000
C 0.7446 0.4274 0.6578
C 0.2554 0.5726 0.3422
C 0.2554 0.9148 0.6578
C 0.7444 0.7431 0.0000
Ti 0.5000 0.1664 0.6672
Ti 0.5000 0.5000 0.0000
Ti 0.0000 0.6671 0.6658
Ti 0.0000 0.3329 0.3342
Ti 0.5000 0.8336 0.3328
Sc 0.0000 0.0000 0.0000


Compound: SbAsSCl2
Source: the Alexandria database
Functional: PBE-GGA
Structure: optimized geometry

**Formation energy (no corrections)**: 190.4 meV per atom
**Energy above the lowest structure with this stoichiometry**: 0.000 eV per formula unit
**Symmetry**: P4/mmm

Cell lengths 4.8848, 4.8848, 5.2587 Å; angles 90.00, 90.00, 90.00 degrees
Sites, in units of the cell vectors:
S 0.0000 0.0000 0.5000
Cl 0.5000 0.0000 0.0000
Cl 0.0000 0.5000 0.0000
Sb 0.5000 0.5000 0.5000
As 0.0000 0.0000 0.0000